# 1
Below is an optimized crystal structure of NdYAlIn, with properties calculated at the PBE level.

Results
Energy above the most stable polymorph in this dataset (eV/atom): 0.013
Crystal system: cubic
Energy of formation (meV per atom): -425

Lattice parameters (Å, degrees): 5.3032 5.3032 5.3032 60.00 60.00 60.00
Closest atoms and distances in Å follow each position.
Element x y z (fractional)
Y: 0.7500 0.7500 0.7500  4 In 3.25, 4 Al 3.25
Nd: 0.2500 0.2500 0.2500  4 In 3.25, 4 Al 3.25
Al: 0.0000 0.0000 0.0000  4 Nd 3.25, 4 Y 3.25
In: 0.5000 0.5000 0.5000  4 Y 3.25, 4 Nd 3.25

---

# 2
Below is an optimized crystal structure of TlSb4S6, with properties calculated at the PBE level.

Results
Raw formation energy (eV/atom): -0.21
Crystal system: orthorhombic

Lattice parameters (Å, degrees): 4.2094 6.8676 20.3384 90.00 90.00 107.85
Closest atoms and distances in Å follow each position.
Element x y z (fractional)
Tl: 0.6630 0.3259 0.2500  6 S 3.05-3.37
Tl: 0.3370 0.6741 0.7500  6 S 3.05-3.37
Sb: 0.8656 0.7313 0.5441  5 S 2.64-2.88
Sb: 0.4044 0.8089 0.1329  3 S 2.57-2.69
Sb: 0.1344 0.2687 0.4559  5 S 2.64-2.88
Sb: 0.5956 0.1911 0.8671  3 S 2.57-2.69
Sb: 0.8656 0.7313 0.9559  5 S 2.64-2.88
Sb: 0.1344 0.2687 0.0441  5 S 2.64-2.88
Sb: 0.5956 0.1911 0.6329  3 S 2.57-2.69
Sb: 0.4044 0.8089 0.3671  3 S 2.57-2.69
S: 0.5000 0.0000 0.0000  6 Sb 2.88-2.98
S: 0.5000 0.0000 0.5000  6 Sb 2.88-2.98
S: 0.0275 0.0551 0.3457  3 Sb 2.64-2.69
S: 0.9725 0.9449 0.6543  3 Sb 2.64-2.69
S: 0.9725 0.9449 0.8457  3 Sb 2.64-2.69
S: 0.0275 0.0551 0.1543  3 Sb 2.64-2.69
S: 0.7547 0.5094 0.4149  5 Sb 2.76-3.03
S: 0.2453 0.4906 0.5851  5 Sb 2.76-3.03
S: 0.2453 0.4906 0.9149  5 Sb 2.76-3.03
S: 0.7547 0.5094 0.0851  5 Sb 2.76-3.03
S: 0.3315 0.6630 0.2500  2 Sb 2.57
S: 0.6685 0.3370 0.7500  2 Sb 2.57

---

Across the entries above, total energy takes the values -4.853, -4.176 eV per atom, respectively.